(1)
DFT (PBE-GGA) results for NaAuS2 after structural relaxation.

```
4
Lattice="0.000 3.325 3.325 3.325 0.000 3.325 3.325 3.325 0.000" Properties=species:S:1:pos:R:3 pbc="T T T"
Na 0.000 0.000 0.000
Au 3.325 3.325 3.325
S 1.662 1.662 1.662
S 4.987 4.987 4.987
```


(2)
DFT (PBE-GGA) results for NaAuS2 after structural relaxation.

```
4
Lattice="1.909 1.102 8.061 -1.909 1.102 8.061 0.000 -2.204 8.061" Properties=species:S:1:pos:R:3 pbc="T T T"
Na 0.000 0.000 0.000
Au 0.000 0.000 12.091
S 0.000 0.000 9.882
S 0.000 0.000 14.301
```


(3)
DFT (PBE-GGA) results for NaAuS2 after structural relaxation.

```
8
Lattice="-2.845 2.845 6.469 2.845 -2.845 6.469 2.845 2.845 -6.469" Properties=species:S:1:pos:R:3 pbc="T T T"
Na 0.000 0.000 0.000
Na 0.000 2.845 3.234
Au 2.845 0.000 3.234
Au 0.000 0.000 6.469
S 1.423 -1.048 4.852
S 1.797 1.423 1.617
S 1.423 3.894 -1.617
S 1.048 1.423 8.086
```


(4)
DFT (PBE-GGA) results for Na2AuS2 after structural relaxation.

```
10
Lattice="6.743 -2.686 0.000 6.743 2.686 0.000 -4.944 0.000 7.600" Properties=species:S:1:pos:R:3 pbc="T T T"
Na -0.666 0.000 1.850
Na -0.504 0.000 7.195
Na 9.045 0.000 0.406
Na 9.207 0.000 5.751
Au 2.899 0.000 2.922
Au 5.642 0.000 4.678
S 1.880 0.000 0.799
S 3.185 0.000 5.219
S 5.356 0.000 2.381
S 6.661 0.000 6.802
```


(5)
DFT (PBE-GGA) results for Na2Au2S7 after structural relaxation.

```
11
Lattice="6.084 -4.245 0.000 6.084 4.245 0.000 -0.070 0.000 4.557" Properties=species:S:1:pos:R:3 pbc="T T T"
Na 2.747 0.000 0.252
Na 9.350 0.000 4.305
Au 6.049 2.604 2.279
Au 6.049 -2.604 2.279
S 0.000 0.000 0.000
S 3.791 1.838 2.871
S 5.648 0.000 0.868
S 8.306 1.838 1.686
S 3.791 -1.838 2.871
S 6.450 0.000 3.689
S 8.306 -1.838 1.686
```


(6)
DFT (PBE-GGA) results for Na7Au5S6 after structural relaxation.

```
72
Lattice="10.600 0.000 0.000 0.000 7.128 0.000 0.000 0.000 22.641" Properties=species:S:1:pos:R:3 pbc="T T T"
Na 0.000 0.013 5.660
Na 0.000 7.115 16.981
Na 1.145 2.667 0.974
Na 1.145 4.462 12.295
Na 1.299 1.152 14.053
Na 1.299 5.976 2.733
Na 2.557 0.040 20.595
Na 2.557 7.089 9.275
Na 2.743 3.524 9.275
Na 2.743 3.604 20.595
Na 4.001 2.412 2.733
Na 4.001 4.716 14.053
Na 4.155 0.898 12.295
Na 4.155 6.231 0.974
Na 5.300 3.551 16.981
Na 5.300 3.577 5.660
Na 6.445 0.898 21.666
Na 6.445 6.231 10.346
Na 6.599 2.412 8.588
Na 6.599 4.716 19.908
Na 7.858 3.524 2.046
Na 7.858 3.604 13.366
Na 8.043 0.040 13.366
Na 8.043 7.089 2.046
Na 9.302 1.152 19.908
Na 9.302 5.976 8.588
Na 9.456 2.667 10.346
Na 9.456 4.462 21.666
Au 0.000 0.000 0.000
Au 0.000 0.000 11.320
Au 0.028 3.356 3.838
Au 0.028 3.772 15.158
Au 2.567 1.943 16.931
Au 2.567 5.185 5.611
Au 2.733 1.621 5.611
Au 2.733 5.507 16.931
Au 5.272 0.208 15.158
Au 5.272 6.920 3.838
Au 5.300 3.564 0.000
Au 5.300 3.564 11.320
Au 5.328 0.208 18.803
Au 5.328 6.920 7.483
Au 7.868 1.621 5.710
Au 7.868 5.507 17.030
Au 8.033 1.943 17.030
Au 8.033 5.185 5.710
Au 10.573 3.356 7.483
Au 10.573 3.772 18.803
S 1.293 1.850 18.881
S 1.293 5.278 7.561
S 1.430 1.506 3.671
S 1.430 5.622 14.991
S 1.518 1.779 11.292
S 1.518 5.349 22.613
S 3.782 1.785 22.613
S 3.782 5.344 11.292
S 3.870 2.058 14.991
S 3.870 5.071 3.671
S 4.007 1.714 7.561
S 4.007 5.415 18.881
S 6.593 1.714 3.759
S 6.593 5.415 15.080
S 6.730 2.058 18.970
S 6.730 5.071 7.650
S 6.818 1.785 11.349
S 6.818 5.344 0.028
S 9.082 1.779 0.028
S 9.082 5.349 11.349
S 9.170 1.506 7.650
S 9.170 5.622 18.970
S 9.307 1.850 15.080
S 9.307 5.278 3.759
```


(7)
DFT (PBE-GGA) results for NaAuS6 after structural relaxation.

```
8
Lattice="6.155 0.000 0.000 2.121 5.973 0.000 1.130 0.419 6.699" Properties=species:S:1:pos:R:3 pbc="T T T"
Na 0.000 0.000 0.000
Au 0.565 0.209 3.349
S 2.254 2.605 1.621
S 2.190 0.493 1.728
S 4.155 3.453 6.529
S 5.250 2.938 0.170
S 7.215 5.899 4.971
S 7.151 3.786 5.078
```


(8)
DFT (PBE-GGA) results for NaAuS2 after structural relaxation.

```
8
Lattice="2.345 -6.525 0.000 2.345 6.525 0.000 -0.069 0.000 6.966" Properties=species:S:1:pos:R:3 pbc="T T T"
Na 2.293 4.151 5.225
Na 2.327 -4.151 1.742
Au 2.293 0.045 5.225
Au 2.327 -0.045 1.742
S 2.339 1.614 0.039
S 2.316 1.614 3.444
S 2.305 -1.614 3.522
S 2.281 -1.614 6.927
```


Electronic total energy for every record listed, in sequence, given in eV/atom: -3.102 -3.265 -3.377 -3.456 -3.584 -3.548 -3.834 -3.657.
Volume for every record listed, in sequence, given in Å³/atom: 18.38 25.44 26.18 27.53 21.40 23.76 30.78 26.64.
E_form (uncorrected) for every record listed, in sequence, given in eV per atom: 0.110 -0.052 -0.165 -0.622 -0.121 -0.749 -0.164 -0.445.